(P)
# Ga3PbC

Crystalline Ga3PbC at its relaxed geometry (PBE-GGA, the Alexandria database).

Output
Spin magnetization, μB/atom: 0.000

Geometry as POSCAR:
```
Ga3PbC
1.0
4.5041 0.0000 0.0000
0.0000 4.5041 0.0000
0.0000 0.0000 4.5041
Ga Pb C
3 1 1
direct
0.0000 0.0000 0.5000
0.0000 0.5000 0.0000
0.5000 0.0000 0.0000
0.5000 0.5000 0.5000
0.0000 0.0000 0.0000
```

(Q)
# Ga3PbC

Crystalline Ga3PbC at its relaxed geometry (PBE-GGA, the Alexandria database).

Output
Spin magnetization, μB/atom: 0.429

Geometry as POSCAR:
```
Ga3PbC
1.0
5.6313 0.0000 0.0000
0.0000 5.6313 0.0000
0.0000 0.0000 5.6313
Ga Pb C
3 1 1
direct
0.0000 0.0000 0.5000
0.0000 0.5000 0.0000
0.5000 0.0000 0.0000
0.0000 0.0000 0.0000
0.5000 0.5000 0.5000
```

Which of them is the most stable? Correct choice: (P).

(P)
# GaPb2C

Crystalline GaPb2C at its relaxed geometry (PBE-GGA, the Alexandria database).

Output
Spin magnetization, μB/atom: 0.000

Geometry as POSCAR:
```
GaPb2C
1.0
0.0000 3.5300 3.5300
3.5300 0.0000 3.5300
3.5300 3.5300 0.0000
Ga Pb C
1 2 1
direct
0.0000 0.0000 0.0000
0.2500 0.2500 0.2500
0.7500 0.7500 0.7500
0.5000 0.5000 0.5000
```

(Q)
# GaPb2C

Crystalline GaPb2C at its relaxed geometry (PBE-GGA, the Alexandria database).

Output
Spin magnetization, μB/atom: 0.000

Geometry as POSCAR:
```
GaPb2C
1.0
-3.0476 3.0476 5.5795
3.0476 -3.0476 5.5795
3.0476 3.0476 -5.5795
Ga Pb C
2 4 2
direct
0.0000 0.0000 0.0000
0.7500 0.2500 0.5000
0.1865 0.6250 0.0615
0.3750 0.4365 0.5615
0.5635 0.1250 0.9385
0.8750 0.8135 0.4385
0.2500 0.7500 0.5000
0.5000 0.5000 0.0000
```

Which of them is the most stable? Correct choice: (Q).

(P)
# Ga2PbC

Crystalline Ga2PbC at its relaxed geometry (PBE-GGA, the Alexandria database).

Output
Spin magnetization, μB/atom: 0.000

Geometry as POSCAR:
```
Ga2PbC
1.0
0.0000 3.3856 3.3856
3.3856 0.0000 3.3856
3.3856 3.3856 0.0000
Ga Pb C
2 1 1
direct
0.2500 0.2500 0.2500
0.7500 0.7500 0.7500
0.0000 0.0000 0.0000
0.5000 0.5000 0.5000
```

(Q)
# Ga2PbC

Crystalline Ga2PbC at its relaxed geometry (PBE-GGA, the Alexandria database).

Output
Spin magnetization, μB/atom: 0.000

Geometry as POSCAR:
```
Ga2PbC
1.0
-2.9333 2.9333 4.7140
2.9333 -2.9333 4.7140
2.9333 2.9333 -4.7140
Ga Pb C
4 2 2
direct
0.3750 0.2484 0.3734
0.7516 0.1250 0.1266
0.8750 0.0016 0.6266
0.9984 0.6250 0.8734
0.2500 0.7500 0.5000
0.5000 0.5000 0.0000
0.0000 0.0000 0.0000
0.7500 0.2500 0.5000
```

Which of them is the most stable? Correct choice: (Q).

(P)
# GaPd3C

Crystalline GaPd3C at its relaxed geometry (PBE-GGA, the Alexandria database).

Output
Spin magnetization, μB/atom: 0.000

Geometry as POSCAR:
```
GaPd3C
1.0
4.6062 0.0000 0.0000
0.0000 4.6062 0.0000
0.0000 0.0000 4.6062
Ga Pd C
1 3 1
direct
0.0000 0.0000 0.0000
0.0000 0.0000 0.5000
0.0000 0.5000 0.0000
0.5000 0.0000 0.0000
0.5000 0.5000 0.5000
```

(Q)
# GaPd3C

Crystalline GaPd3C at its relaxed geometry (PBE-GGA, the Alexandria database).

Output
Spin magnetization, μB/atom: 0.000

Geometry as POSCAR:
```
GaPd3C
1.0
4.1513 0.0000 0.0000
0.0000 4.1513 0.0000
0.0000 0.0000 4.1513
Ga Pd C
1 3 1
direct
0.0000 0.0000 0.0000
0.0000 0.5000 0.5000
0.5000 0.0000 0.5000
0.5000 0.5000 0.0000
0.5000 0.5000 0.5000
```

Which of them is the most stable? Correct choice: (Q).

(P)
# GaPdC3

Crystalline GaPdC3 at its relaxed geometry (PBE-GGA, the Alexandria database).

Output
Spin magnetization, μB/atom: 0.000

Geometry as POSCAR:
```
GaPdC3
1.0
4.0686 0.0000 0.0000
0.0000 4.0686 0.0000
0.0000 0.0000 4.0686
Ga Pd C
1 1 3
direct
0.0000 0.0000 0.0000
0.5000 0.5000 0.5000
0.0000 0.5000 0.5000
0.5000 0.0000 0.5000
0.5000 0.5000 0.0000
```

(Q)
# GaPdC3

Crystalline GaPdC3 at its relaxed geometry (PBE-GGA, the Alexandria database).

Output
Spin magnetization, μB/atom: 0.000

Geometry as POSCAR:
```
GaPdC3
1.0
3.9687 0.0000 0.0000
0.0000 3.9687 0.0000
0.0000 0.0000 3.9687
Ga Pd C
1 1 3
direct
0.0000 0.0000 0.0000
0.5000 0.5000 0.5000
0.0000 0.0000 0.5000
0.0000 0.5000 0.0000
0.5000 0.0000 0.0000
```

Which of them is the most stable? Correct choice: (P).

(P)
# GaPd2C

Crystalline GaPd2C at its relaxed geometry (PBE-GGA, the Alexandria database).

Output
Spin magnetization, μB/atom: 0.000

Geometry as POSCAR:
```
GaPd2C
1.0
-2.7049 2.7049 4.6826
2.7049 -2.7049 4.6826
2.7049 2.7049 -4.6826
Ga Pd C
2 4 2
direct
0.0000 0.0000 0.0000
0.7500 0.2500 0.5000
0.2123 0.6250 0.0873
0.3750 0.4623 0.5873
0.5377 0.1250 0.9127
0.8750 0.7877 0.4127
0.2500 0.7500 0.5000
0.5000 0.5000 0.0000
```

(Q)
# GaPd2C

Crystalline GaPd2C at its relaxed geometry (PBE-GGA, the Alexandria database).

Output
Spin magnetization, μB/atom: 0.000

Geometry as POSCAR:
```
GaPd2C
1.0
0.0000 2.9823 2.9823
2.9823 0.0000 2.9823
2.9823 2.9823 0.0000
Ga Pd C
1 2 1
direct
0.0000 0.0000 0.0000
0.2500 0.2500 0.2500
0.7500 0.7500 0.7500
0.5000 0.5000 0.5000
```

Which of them is the most stable? Correct choice: (P).

(P)
# Ga2RePdC

Crystalline Ga2RePdC at its relaxed geometry (PBE-GGA, the Alexandria database).

Output
Spin magnetization, μB/atom: 0.445

Geometry as POSCAR:
```
Ga2RePdC
1.0
4.6314 0.0000 0.0000
0.0000 4.6314 0.0000
0.0000 0.0000 5.1892
Ga Re Pd C
2 1 1 1
direct
0.0000 0.5000 0.0000
0.5000 0.0000 0.0000
0.0000 0.0000 0.5000
0.0000 0.0000 0.0000
0.5000 0.5000 0.5000
```

(Q)
# Ga2RePdC

Crystalline Ga2RePdC at its relaxed geometry (PBE-GGA, the Alexandria database).

Output
Spin magnetization, μB/atom: 0.177

Geometry as POSCAR:
```
Ga2RePdC
1.0
4.1984 0.0000 0.0000
0.0000 4.1984 0.0000
0.0000 0.0000 4.0212
Ga Re Pd C
2 1 1 1
direct
0.0000 0.5000 0.0000
0.5000 0.0000 0.0000
0.0000 0.0000 0.5000
0.5000 0.5000 0.5000
0.5000 0.5000 0.0000
```

Which of them is the most stable? Correct choice: (Q).

(P)
# PmGaC

Crystalline PmGaC at its relaxed geometry (PBE-GGA, the Alexandria database).

Output
Spin magnetization, μB/atom: 0.000

Geometry as POSCAR:
```
PmGaC
1.0
3.7734 -2.0291 0.0000
3.7734 2.0291 0.0000
-2.0633 0.0000 7.4329
Pm Ga C
2 2 2
direct
0.0844 0.0844 0.3049
0.9156 0.9156 0.6951
0.3333 0.3333 0.9824
0.6667 0.6667 0.0176
0.4115 0.4115 0.4598
0.5885 0.5885 0.5402
```

(Q)
# PmGaC

Crystalline PmGaC at its relaxed geometry (PBE-GGA, the Alexandria database).

Output
Spin magnetization, μB/atom: 0.000

Geometry as POSCAR:
```
PmGaC
1.0
1.7343 -10.4037 0.0000
1.7343 10.4037 0.0000
0.0000 0.0000 2.9759
Pm Ga C
2 2 2
direct
0.0781 0.9219 0.7500
0.9219 0.0781 0.2500
0.2920 0.7080 0.2500
0.7080 0.2920 0.7500
0.4815 0.5185 0.7500
0.5185 0.4815 0.2500
```

Which of them is the most stable? Correct choice: (P).